A plane-wave DFT calculation with GGA-PBE was carried out for crystalline TaAsNO at its relaxed geometry.

```
TaAsNO
1.0
4.020 0.000 0.000
0.000 4.020 0.000
0.000 0.000 6.964
Ta As N O
2 2 2 2
Direct
0.250 0.750 0.000 Ta
0.750 0.250 0.000 Ta
0.250 0.250 0.386 As
0.750 0.750 0.614 As
0.250 0.250 0.914 N
0.750 0.750 0.086 N
0.250 0.750 0.500 O
0.750 0.250 0.500 O
```

Output
The total energy comes out at -7.7801 eV/atom. As for the total magnetization: 0.0 μB per cell.